Material: ReSn3H
Method: DFT, PBE
State: optimized geometry

Results
E_tot	-23.447	eV per cell
calculated volume	90.4	Å³/cell
size of the total moment	0.00	μB/cell
energy relative to the lowest polymorph listed for this composition	354	meV/atom

Unit cell a=4.488 b=4.488 c=4.488 alpha=90.00 beta=90.00 gamma=90.00
Fractional positions:
Re 0.000 0.000 0.000
Sn 0.000 0.500 0.500
Sn 0.500 0.000 0.500
Sn 0.500 0.500 0.000
H 0.500 0.500 0.500